{
  "formula": "KEr2PuO6",
  "functional": "PBE",
  "state": "relaxed",
  "e_form_raw_ev_per_fu": -30.0,
  "e_tot_ev_per_atom": -8.43,
  "space_group": "No. 146",
  "cell": [[-4.162, -2.637, 3.235], [0.958, -5.375, 2.220], [0.924, -0.540, 6.119]],
  "species": ["K", "Er", "Er", "Pu", "O", "O", "O", "O", "O", "O"],
  "fractional_positions": [[0.784, 0.784, 0.648], [0.527, 0.527, 0.419], [0.010, 0.010, 0.970], [0.321, 0.321, 0.037], [0.599, 0.259, 0.219], [0.259, 0.924, 0.219], [0.924, 0.599, 0.219], [0.336, 0.710, 0.762], [0.710, 0.192, 0.762], [0.192, 0.336, 0.762]]
}

---

{
  "formula": "Tb2Pr3YTe6",
  "functional": "PBE",
  "state": "relaxed",
  "e_form_raw_ev_per_fu": -16.6,
  "e_tot_ev_per_atom": -5.46,
  "space_group": "No. 12",
  "cell": [[-1.391, 2.926, -2.984], [-7.780, 0.842, 4.452], [6.495, 5.308, 5.428]],
  "species": ["Tb", "Tb", "Pr", "Pr", "Pr", "Y", "Te", "Te", "Te", "Te", "Te", "Te"],
  "fractional_positions": [[0.833, 0.666, 0.666], [0.167, 0.334, 0.334], [0.500, 0.500, 0.000], [0.833, 0.167, 0.666], [0.167, 0.833, 0.334], [0.500, 0.000, 0.000], [0.337, 0.910, 0.673], [0.670, 0.576, 0.339], [0.663, 0.090, 0.327], [0.003, 0.242, 0.006], [0.997, 0.758, 0.994], [0.330, 0.424, 0.661]]
}

---

{
  "formula": "ZrReSe2",
  "functional": "PBE",
  "state": "relaxed",
  "e_form_raw_ev_per_fu": -1.4,
  "e_tot_ev_per_atom": -7.35,
  "space_group": "No. 160",
  "cell": [[8.918, -0.049, -0.029], [8.284, 3.304, -0.029], [8.284, 1.567, 2.909]],
  "species": ["Re", "Se", "Se", "Zr"],
  "fractional_positions": [[0.748, 0.748, 0.748], [0.021, 0.021, 0.021], [0.233, 0.233, 0.233], [0.498, 0.498, 0.498]]
}

---

{
  "formula": "UPaSeN2",
  "functional": "PBE",
  "state": "relaxed",
  "e_form_raw_ev_per_fu": -7.7,
  "e_tot_ev_per_atom": -9.72,
  "space_group": "No. 107",
  "cell": [[-2.476, 0.231, 2.930], [1.651, -3.061, 1.637], [4.281, 5.093, 0.695]],
  "species": ["U", "Pa", "Se", "N", "N"],
  "fractional_positions": [[0.152, 0.152, 0.305], [0.847, 0.847, 0.694], [0.499, 0.499, 0.997], [0.751, 0.251, 0.502], [0.251, 0.751, 0.502]]
}

---

{
  "formula": "Pr5As4Cl",
  "functional": "PBE",
  "state": "relaxed",
  "e_form_raw_ev_per_fu": -15.5,
  "e_tot_ev_per_atom": -5.98,
  "space_group": "No. 71",
  "cell": [[-3.865, 0.650, 1.770], [-2.485, -3.724, -4.059], [4.809, -6.765, 7.762]],
  "species": ["Pr", "Pr", "Pr", "Pr", "Pr", "As", "As", "As", "As", "Cl"],
  "fractional_positions": [[0.608, 0.108, 0.217], [0.800, 0.300, 0.601], [0.200, 0.700, 0.399], [0.000, 0.500, 0.000], [0.392, 0.892, 0.783], [0.402, 0.402, 0.804], [0.800, 0.800, 0.600], [0.200, 0.200, 0.400], [0.598, 0.598, 0.196], [0.000, 0.000, 0.000]]
}

---

{
  "formula": "CaMn2Ag",
  "functional": "PBE",
  "state": "relaxed",
  "e_tot_ev_per_atom": -5.32,
  "delta_e_f_ev_per_atom": 0.4745,
  "space_group": "No. 10",
  "cell": [[-4.207, 2.095, 0.313], [-1.177, -2.543, 1.208], [0.817, 0.812, 5.549]],
  "species": ["Ca", "Mn", "Mn", "Ag"],
  "fractional_positions": [[0.500, 0.750, 0.750], [0.000, 0.065, 0.037], [0.000, 0.435, 0.463], [0.500, 0.250, 0.250]]
}

---

{
  "formula": "Y4Ag3Hg",
  "functional": "PBE",
  "state": "relaxed",
  "e_tot_ev_per_atom": -4.71,
  "delta_e_f_ev_per_atom": -0.3725,
  "space_group": "No. 123",
  "cell": [[3.668, 0.000, 0.000], [0.000, 3.668, 0.000], [0.000, 0.000, 14.660]],
  "species": ["Y", "Y", "Y", "Y", "Hg", "Ag", "Ag", "Ag"],
  "fractional_positions": [[0.000, 0.000, 0.872], [0.000, 0.000, 0.128], [0.000, 0.000, 0.375], [0.000, 0.000, 0.625], [0.500, 0.500, 0.000], [0.500, 0.500, 0.252], [0.500, 0.500, 0.500], [0.500, 0.500, 0.748]]
}

---

{
  "formula": "PuCuH3",
  "functional": "PBE",
  "state": "relaxed",
  "e_tot_ev_per_atom": -5.82,
  "space_group": "No. 11",
  "cell": [[3.954, -0.203, 0.000], [-2.075, 4.483, 0.000], [0.000, 0.000, 6.518]],
  "species": ["Pu", "Pu", "Cu", "Cu", "H", "H", "H", "H", "H", "H"],
  "fractional_positions": [[0.293, 0.598, 0.750], [0.707, 0.402, 0.250], [0.000, 0.000, 0.000], [0.000, 0.000, 0.500], [0.808, 0.623, 0.564], [0.192, 0.377, 0.436], [0.192, 0.377, 0.064], [0.808, 0.623, 0.936], [0.874, 0.071, 0.750], [0.126, 0.929, 0.250]]
}

---

{
  "formula": "ScTaZnSe2",
  "functional": "PBE",
  "state": "relaxed",
  "e_form_raw_ev_per_fu": 3.6,
  "e_tot_ev_per_atom": -4.57,
  "space_group": "No. 123",
  "cell": [[4.996, 0.000, 0.000], [0.000, 5.452, 0.000], [0.000, 0.000, 4.996]],
  "species": ["Sc", "Zn", "Se", "Se", "Ta"],
  "fractional_positions": [[0.000, 0.000, 0.000], [0.500, 0.500, 0.500], [0.000, 0.000, 0.500], [0.500, 0.000, 0.000], [0.000, 0.500, 0.000]]
}

---

{
  "formula": "Na2SrTiPb",
  "functional": "PBE",
  "state": "relaxed",
  "e_tot_ev_per_atom": -2.78,
  "delta_e_f_ev_per_atom": 0.4087,
  "space_group": "No. 123",
  "cell": [[-2.276, 0.669, -5.148], [4.457, -2.280, -2.267], [-2.411, -5.114, 0.401]],
  "species": ["Pb", "Sr", "Na", "Na", "Ti"],
  "fractional_positions": [[0.000, 0.500, 0.000], [0.500, 0.500, 0.500], [0.000, 0.000, 0.500], [0.500, 0.000, 0.000], [0.000, 0.000, 0.000]]
}

---

{
  "formula": "SiRu2",
  "functional": "PBE",
  "state": "relaxed",
  "e_form_raw_ev_per_fu": 0.8,
  "e_tot_ev_per_atom": -7.73,
  "space_group": "No. 191",
  "cell": [[4.259, 0.000, 0.000], [-2.130, 3.688, 0.000], [0.000, 0.000, 2.691]],
  "species": ["Ru", "Ru", "Si"],
  "fractional_positions": [[0.333, 0.667, 0.500], [0.667, 0.333, 0.500], [0.000, 0.000, 0.000]]
}

---

{
  "formula": "Th4As2Se",
  "functional": "PBE",
  "state": "relaxed",
  "e_form_raw_ev_per_fu": -7.1,
  "e_tot_ev_per_atom": -7.08,
  "space_group": "No. 63",
  "cell": [[4.034, 0.000, 0.000], [-2.017, 6.906, 0.000], [0.000, 0.000, 14.380]],
  "species": ["As", "As", "As", "As", "Se", "Se", "Th", "Th", "Th", "Th", "Th", "Th", "Th", "Th"],
  "fractional_positions": [[0.143, 0.285, 0.438], [0.857, 0.715, 0.938], [0.143, 0.285, 0.062], [0.857, 0.715, 0.562], [0.597, 0.193, 0.750], [0.403, 0.807, 0.250], [0.783, 0.566, 0.126], [0.783, 0.566, 0.374], [0.217, 0.434, 0.874], [0.217, 0.434, 0.626], [0.933, 0.867, 0.750], [0.067, 0.133, 0.250], [0.500, 0.000, 0.000], [0.500, 0.000, 0.500]]
}